Below is a geometry-optimized AcPr2Er4 structure, with properties calculated at the GGA-PBE level.

The structure in extended XYZ format:
```
7
Lattice="6.642 0.716 -1.916 -3.121 5.398 -3.068 0.414 -0.716 6.900" Properties=species:S:1:pos:R:3 pbc="T T T"
Er 3.228 1.866 0.000
Er 5.977 1.866 1.941
Er 0.706 3.532 1.916
Ac 0.000 0.000 0.000
Er -2.042 3.532 -0.025
Pr 2.851 1.171 3.450
Pr 1.083 4.228 -1.534
```

Output
For the total energy, the calculation gives -4.349 eV/atom.